Compound: La12TbIn6
Source: the Alexandria database
Functional: PBE
Structure: relaxed

a b c (Å): 11.9343 11.9343 14.7875
angles (deg): 90.00 90.00 120.00
Space group R-3 (No. 148, hexagonal axes)
Inequivalent atoms, fractional coordinates:
La 0.0481 0.8575 0.3011 (multiplicity 18)
La 0.0664 0.2236 0.9062 (multiplicity 18)
Tb 0.0000 0.0000 0.5000 (multiplicity 3)
In 0.0372 0.5909 0.2109 (multiplicity 18)

Computed properties:
Density (g/cm3): 6.9
Density of states at the Fermi level (states/eV/f.u.): 21.9
Crystal system: trigonal
Total moment (μB/f.u.): 0.0
DFT formation energy (meV per atom): -272
V (Å³/f.u.): 608.00